# 1
Density functional theory data (PBE) for a geometry-optimized Er2TmTh6 structure.

Results
Total energy (eV per atom): -6.00
Total magnetization (μB/atom): 0.000
Space-group type: R3m
Formation enthalpy at 0 K (eV per atom): 0.4563

abc: 6.9823 6.9823 8.6970
angles: 66.33 66.33 60.00
Last column: nearest neighbours and their distance in Å.
Element x y z (fractional)
Er  0.7503  0.7503  0.7492  9 Th 3.55-3.76, 1 Er 3.91
Er  0.5810  0.5810  0.2569  9 Th 3.54-3.71, 1 Er 3.91
Tm  0.3312  0.3312  0.0064  6 Th 3.25-3.26
Th  0.7648  0.2835  0.6680  1 Tm 3.25, 6 Th 3.35-3.62, 2 Er 3.55
Th  0.2837  0.7648  0.6680  1 Tm 3.25, 6 Th 3.35-3.62, 2 Er 3.55
Th  0.2835  0.2837  0.6680  1 Tm 3.25, 6 Th 3.35-3.62, 2 Er 3.55
Th  0.0487  0.5734  0.3288  1 Tm 3.26, 4 Th 3.32-3.35, 2 Er 3.54
Th  0.0490  0.0487  0.3288  1 Tm 3.26, 4 Th 3.32-3.35, 2 Er 3.54
Th  0.5734  0.0490  0.3288  1 Tm 3.26, 4 Th 3.32-3.35, 2 Er 3.54

# 2
Density functional theory data (PBE) for a geometry-optimized Er7Tm3Th2 structure.

Results
Total energy (eV per atom): -4.84
Total magnetization (μB/atom): 0.000
Space-group type: Cmmm
Formation enthalpy at 0 K (eV per atom): 0.1755

abc: 3.5461 5.7150 18.9526
angles: 98.67 90.00 90.00
Last column: nearest neighbours and their distance in Å.
Element x y z (fractional)
Er  0.0000  0.4285  0.8570  4 Tm 3.21-3.39, 6 Er 3.44-3.55
Er  0.0000  0.7281  0.4562  4 Er 3.30-3.55, 2 Tm 3.46, 3 Th 3.48-3.62
Er  0.0000  0.0000  0.0000  4 Tm 3.36, 2 Er 3.55
Er  0.0000  0.5715  0.1430  4 Tm 3.21-3.39, 6 Er 3.44-3.55
Er  0.5000  0.0905  0.1811  8 Er 3.44-3.83, 2 Tm 3.59, 2 Th 3.64
Er  0.5000  0.9095  0.8189  8 Er 3.44-3.83, 2 Tm 3.59, 2 Th 3.64
Er  0.0000  0.2719  0.5438  4 Er 3.30-3.55, 2 Tm 3.46, 3 Th 3.48-3.62
Tm  0.5000  0.5000  0.0000  8 Er 3.21-3.36, 2 Tm 3.55
Tm  0.5000  0.6488  0.2975  6 Er 3.39-3.59, 4 Th 3.51, 2 Tm 3.55
Tm  0.5000  0.3512  0.7025  6 Er 3.39-3.59, 4 Th 3.51, 2 Tm 3.55
Th  0.0000  0.8247  0.6493  5 Er 3.48-3.64, 4 Tm 3.51, 2 Th 3.55
Th  0.0000  0.1753  0.3507  5 Er 3.48-3.64, 4 Tm 3.51, 2 Th 3.55

# 3
Density functional theory data (PBE) for a geometry-optimized ErTmTh2 structure.

Results
Total energy (eV per atom): -5.93
Total magnetization (μB/atom): 0.000
Space-group type: P4/mmm
Formation enthalpy at 0 K (eV per atom): 0.0392

abc: 3.5455 3.5455 9.9874
angles: 90.00 90.00 90.00
Last column: nearest neighbours and their distance in Å.
Element x y z (fractional)
Tm  0.5000  0.5000  0.5000  8 Th 3.53, 4 Tm 3.55
Th  0.0000  0.0000  0.7492  4 Tm 3.53, 4 Er 3.54, 4 Th 3.55
Th  0.0000  0.0000  0.2508  4 Tm 3.53, 4 Er 3.54, 4 Th 3.55
Er  0.5000  0.5000  0.0000  8 Th 3.54, 4 Er 3.55

# 4
Density functional theory data (PBE) for a geometry-optimized Er4Tm5Th2 structure.

Results
Total energy (eV per atom): -4.99
Total magnetization (μB/atom): 0.000
Space-group type: P-1
Formation enthalpy at 0 K (eV per atom): 0.0518

abc: 3.4994 11.0952 8.7379
angles: 91.01 90.34 89.46
Last column: nearest neighbours and their distance in Å.
Element x y z (fractional)
Er  0.2491  0.2035  0.7326  6 Tm 3.38-3.75, 2 Th 3.48-3.51, 4 Er 3.50-3.64
Er  0.2131  0.7385  0.9160  5 Tm 3.15-3.51, 1 Th 3.41, 3 Er 3.50-3.53
Er  0.7509  0.7965  0.2674  6 Tm 3.38-3.75, 2 Th 3.48-3.51, 4 Er 3.50-3.64
Er  0.7869  0.2615  0.0840  5 Tm 3.15-3.51, 1 Th 3.41, 3 Er 3.50-3.53
Tm  0.7445  0.4786  0.8202  5 Er 3.36-3.59, 3 Th 3.43-3.50, 4 Tm 3.50-3.63
Tm  0.2555  0.5214  0.1798  5 Er 3.36-3.59, 3 Th 3.43-3.50, 4 Tm 3.50-3.63
Tm  0.7682  0.9141  0.6421  5 Tm 3.39-3.66, 5 Er 3.47-3.75, 2 Th 3.57-3.66
Tm  0.5000  0.0000  0.0000  4 Er 3.15-3.38, 4 Tm 3.39-3.50
Tm  0.2318  0.0859  0.3579  5 Tm 3.39-3.66, 5 Er 3.47-3.75, 2 Th 3.57-3.66
Th  0.7500  0.3619  0.4545  3 Er 3.41-3.51, 5 Tm 3.43-3.66, 4 Th 3.50-3.62
Th  0.2500  0.6381  0.5455  3 Er 3.41-3.51, 5 Tm 3.43-3.66, 4 Th 3.50-3.62

# 5
Density functional theory data (PBE) for a geometry-optimized Er7Tm16Th6 structure.

Results
Total energy (eV per atom): -4.79
Total magnetization (μB/atom): 0.001
Space-group type: Fm-3m
Formation enthalpy at 0 K (eV per atom): 0.3105

abc: 10.9500 10.9500 10.9500
angles: 60.00 60.00 60.00
Last column: nearest neighbours and their distance in Å.
Element x y z (fractional)
Er  0.0000  0.0000  0.0000  8 Tm 3.21
Er  0.5000  0.0000  0.5000  8 Tm 3.17-3.40
Er  0.0000  0.5000  0.0000  8 Tm 3.17-3.40
Er  0.0000  0.5000  0.5000  8 Tm 3.17-3.40
Er  0.5000  0.0000  0.0000  8 Tm 3.17-3.40
Er  0.0000  0.0000  0.5000  8 Tm 3.17-3.40
Er  0.5000  0.5000  0.0000  8 Tm 3.17-3.40
Tm  0.8802  0.8802  0.3595  4 Er 3.21-3.40, 3 Tm 3.53
Tm  0.8802  0.8802  0.8802  4 Er 3.21-3.40, 3 Tm 3.53
Tm  0.8802  0.3595  0.8802  4 Er 3.21-3.40, 3 Tm 3.53
Tm  0.3595  0.8802  0.8802  4 Er 3.21-3.40, 3 Tm 3.53
Tm  0.1198  0.1198  0.1198  4 Er 3.21-3.40, 3 Tm 3.53
Tm  0.1198  0.1198  0.6405  4 Er 3.21-3.40, 3 Tm 3.53
Tm  0.1198  0.6405  0.1198  4 Er 3.21-3.40, 3 Tm 3.53
Tm  0.6405  0.1198  0.1198  4 Er 3.21-3.40, 3 Tm 3.53
Tm  0.6592  0.6592  0.0224  3 Er 3.17, 3 Th 3.49, 3 Tm 3.53
Tm  0.6592  0.6592  0.6592  3 Er 3.17, 3 Th 3.49, 3 Tm 3.53
Tm  0.6592  0.0224  0.6592  3 Er 3.17, 3 Th 3.49, 3 Tm 3.53
Tm  0.0224  0.6592  0.6592  3 Er 3.17, 3 Th 3.49, 3 Tm 3.53
Tm  0.3408  0.3408  0.3408  3 Er 3.17, 3 Th 3.49, 3 Tm 3.53
Tm  0.3408  0.3408  0.9776  3 Er 3.17, 3 Th 3.49, 3 Tm 3.53
Tm  0.3408  0.9776  0.3408  3 Er 3.17, 3 Th 3.49, 3 Tm 3.53
Tm  0.9776  0.3408  0.3408  3 Er 3.17, 3 Th 3.49, 3 Tm 3.53
Th  0.3303  0.6697  0.3303  4 Tm 3.49, 4 Th 3.72
Th  0.6697  0.3303  0.6697  4 Tm 3.49, 4 Th 3.72
Th  0.6697  0.3303  0.3303  4 Tm 3.49, 4 Th 3.72
Th  0.3303  0.6697  0.6697  4 Tm 3.49, 4 Th 3.72
Th  0.6697  0.6697  0.3303  4 Tm 3.49, 4 Th 3.72
Th  0.3303  0.3303  0.6697  4 Tm 3.49, 4 Th 3.72

# 6
Density functional theory data (PBE) for a geometry-optimized Er4Tm2Th5 structure.

Results
Total energy (eV per atom): -5.68
Total magnetization (μB/atom): 0.000
Space-group type: C2/m
Formation enthalpy at 0 K (eV per atom): 0.1652

abc: 3.3977 8.7015 11.9596
angles: 94.77 98.17 90.00
Last column: nearest neighbours and their distance in Å.
Element x y z (fractional)
Er  0.6786  0.4753  0.3573  6 Er 3.40-3.77, 3 Tm 3.47-3.61, 4 Th 3.62-3.70
Er  0.0468  0.3650  0.0936  3 Th 3.23-3.39, 5 Er 3.36-3.61
Er  0.3214  0.5247  0.6427  6 Er 3.40-3.77, 3 Tm 3.47-3.61, 4 Th 3.62-3.70
Er  0.9532  0.6350  0.9064  3 Th 3.23-3.39, 5 Er 3.36-3.61
Tm  0.7671  0.1765  0.5341  4 Th 3.39-3.49, 4 Tm 3.40-3.54, 3 Er 3.47-3.61
Tm  0.2329  0.8235  0.4659  4 Th 3.39-3.49, 4 Tm 3.40-3.54, 3 Er 3.47-3.61
Th  0.1400  0.1149  0.2800  1 Er 3.23, 3 Th 3.33-3.40, 3 Tm 3.46-3.49
Th  0.8600  0.8851  0.7200  1 Er 3.23, 3 Th 3.33-3.40, 3 Tm 3.46-3.49
Th  0.0901  0.7460  0.1802  4 Er 3.30-3.70, 5 Th 3.33-3.62, 1 Tm 3.39
Th  0.5000  0.0000  0.0000  10 Th 3.40-3.78, 4 Er 3.69
Th  0.9099  0.2540  0.8198  4 Er 3.30-3.70, 5 Th 3.33-3.62, 1 Tm 3.39